This record from Alexandria describes crystalline K2CoSnO5 at its relaxed geometry. The functional is PBE with a Hubbard U.

The value obtained for the total moment is 12.65 μB/cell. The electronic total energy comes out at -5.292 eV per atom.

The structure in CIF format:
```
data_K2CoSnO5
_cell_length_a 3.286
_cell_length_b 12.616
_cell_length_c 13.060
_cell_angle_alpha 90.00
_cell_angle_beta 90.00
_cell_angle_gamma 90.00
_space_group_name_H-M_alt 'C m c 21'
_space_group_IT_number 36
_space_group_name_Hall 'C 2c -2'
loop_
_atom_site_label
_atom_site_fract_x
_atom_site_fract_y
_atom_site_fract_z
K1 0.000 0.076 0.000
K2 0.000 0.169 0.624
Co1 0.000 0.484 0.767
Sn1 0.000 0.213 0.351
O1 0.000 0.046 0.346
O2 0.000 0.278 0.954
O3 0.000 0.329 0.749
O4 0.000 0.371 0.314
O5 0.000 0.492 0.139
```